1.
VASP calculation (PBE-GGA) on SbPdPtRh after structural relaxation.

ΔE to the lowest computed polymorph: 35.8 meV per atom
magnetic moment: 0.000 μB/atom
D(E_F): 2.50 states/eV/f.u.
uncorrected formation energy: -219 meV per atom
mass density: 13274 kg/m3

Cell lengths 4.532, 4.532, 4.532 Å; angles 60.00, 60.00, 60.00 degrees
Fractional positions:
Pd1 0.500 0.500 0.500
Rh1 0.250 0.250 0.250
Sb1 0.000 0.000 0.000
Pt1 0.750 0.750 0.750

***

2.
VASP calculation (PBE-GGA) on AcHo2Hg3 after structural relaxation.

magnetic moment: 0.107 μB/atom
D(E_F): 5.72 states/eV/f.u.
mass density: 11528 kg/m3
VASP energy: -2.82 eV per atom

Cell lengths 3.790, 3.790, 11.619 Å; angles 90.00, 90.00, 90.00 degrees
Fractional positions:
Hg1 0.000 0.000 0.696
Hg2 0.000 0.000 0.000
Hg3 0.000 0.000 0.304
Ho1 0.500 0.500 0.157
Ac1 0.500 0.500 0.500
Ho2 0.500 0.500 0.843

***

3.
VASP calculation (PBE-GGA) on Ga2Ag5Au12 after structural relaxation.

ΔE to the lowest computed polymorph: 0.0 meV per atom
magnetic moment: 0.000 μB/atom
D(E_F): 4.21 states/eV/f.u.
mass density: 14592 kg/m3

Cell lengths 5.513, 8.227, 8.227 Å; angles 69.56, 83.40, 83.40 degrees
Fractional positions:
Ag1 0.912 0.316 0.316
Au1 0.270 0.455 0.455
Ag2 0.500 0.000 0.000
Au2 0.628 0.636 0.165
Au3 0.372 0.364 0.835
Au4 0.207 0.057 0.558
Au5 0.372 0.835 0.364
Au6 0.018 0.103 0.103
Au7 0.207 0.558 0.057
Au8 0.793 0.442 0.943
Au9 0.982 0.897 0.897
Au10 0.628 0.165 0.636
Ag3 0.539 0.778 0.778
Au11 0.730 0.545 0.545
Ag4 0.461 0.222 0.222
Ga1 0.000 0.253 0.747
Ag5 0.088 0.684 0.684
Ga2 0.000 0.747 0.253
Au12 0.793 0.943 0.442

***

4.
VASP calculation (PBE-GGA) on LiPuCoPb after structural relaxation.

magnetic moment: 1.049 μB/atom
D(E_F): 9.79 states/eV/f.u.
mass density: 11481 kg/m3
VASP energy: -6.78 eV per atom

Cell lengths 4.729, 4.729, 4.729 Å; angles 60.00, 60.00, 60.00 degrees
Fractional positions:
Co1 0.250 0.250 0.250
Li1 0.750 0.750 0.750
Pu1 0.000 0.000 0.000
Pb1 0.500 0.500 0.500

***

5.
VASP calculation (PBE-GGA) on K2LiP after structural relaxation.

magnetic moment: 0.000 μB/atom
D(E_F): 0.65 states/eV/f.u.
mass density: 1475 kg/m3
VASP energy: -2.69 eV per atom

Cell lengths 4.684, 4.684, 7.387 Å; angles 71.62, 71.62, 59.98 degrees
Fractional positions:
P1 0.208 0.208 0.376
Li1 0.541 0.541 0.376
K1 0.787 0.787 0.640
K2 0.964 0.964 0.109

***

6.
VASP calculation (PBE-GGA) on CdIn4 after structural relaxation.

ΔE to the lowest computed polymorph: 0.0 meV per atom
magnetic moment: 0.000 μB/atom
D(E_F): 2.28 states/eV/f.u.
mass density: 7137 kg/m3

Cell lengths 3.360, 3.251, 14.322 Å; angles 86.53, 83.26, 58.89 degrees
Fractional positions:
In1 0.403 0.000 0.194
In2 0.198 0.000 0.603
In3 0.597 0.000 0.806
In4 0.802 0.000 0.397
Cd1 0.000 0.000 0.000

***

7.
VASP calculation (PBE-GGA) on CaAcTmHg after structural relaxation.

magnetic moment: 0.000 μB/atom
D(E_F): 4.51 states/eV/f.u.
mass density: 8174 kg/m3
VASP energy: -2.64 eV per atom

Cell lengths 5.676, 5.676, 5.676 Å; angles 60.00, 60.00, 60.00 degrees
Fractional positions:
Ca1 0.000 0.000 0.000
Tm1 0.500 0.500 0.500
Hg1 0.250 0.250 0.250
Ac1 0.750 0.750 0.750

***

8.
VASP calculation (PBE-GGA) on MgTa2W after structural relaxation.

magnetic moment: 0.000 μB/atom
D(E_F): 4.60 states/eV/f.u.
mass density: 13199 kg/m3
VASP energy: -9.22 eV per atom

Cell lengths 5.051, 5.051, 5.388 Å; angles 85.19, 85.19, 31.57 degrees
Fractional positions:
Mg1 0.249 0.249 0.251
Ta1 0.999 0.999 0.002
W1 0.502 0.502 0.503
Ta2 0.751 0.751 0.745

***

9.
VASP calculation (PBE-GGA) on Y2Al4RhAu3 after structural relaxation.

magnetic moment: 0.000 μB/atom
D(E_F): 6.23 states/eV/f.u.
mass density: 8438 kg/m3
VASP energy: -5.27 eV per atom

Cell lengths 4.226, 4.226, 10.794 Å; angles 90.00, 90.00, 90.00 degrees
Fractional positions:
Au1 0.000 0.000 0.500
Al1 0.000 0.000 0.000
Y1 0.500 0.000 0.255
Al2 0.000 0.500 0.373
Y2 0.000 0.500 0.745
Al3 0.500 0.500 0.000
Au2 0.500 0.000 0.860
Al4 0.500 0.000 0.627
Rh1 0.500 0.500 0.500
Au3 0.000 0.500 0.140

***

10.
VASP calculation (PBE-GGA) on La2TmBi after structural relaxation.

ΔE to the lowest computed polymorph: 221.0 meV per atom
magnetic moment: 0.263 μB/atom
D(E_F): 5.34 states/eV/f.u.
mass density: 7304 kg/m3

Cell lengths 4.203, 4.203, 10.044 Å; angles 77.92, 77.92, 60.00 degrees
Fractional positions:
Bi1 0.667 0.667 0.000
Tm1 0.500 0.500 0.501
La1 0.261 0.261 0.218
La2 0.073 0.073 0.781

***

11.
VASP calculation (PBE-GGA) on Lu3BiRu4O14 after structural relaxation.

magnetic moment: 0.105 μB/atom
D(E_F): 11.16 states/eV/f.u.
uncorrected formation energy: -1905 meV per atom
mass density: 8576 kg/m3

Cell lengths 7.207, 7.207, 7.190 Å; angles 90.00, 59.92, 120.00 degrees
Fractional positions:
O1 0.494 0.538 0.968
O2 0.000 0.788 0.212
O3 0.494 0.956 0.968
O4 0.924 0.962 0.538
Lu1 0.250 0.875 0.375
O5 0.487 0.243 0.270
O6 0.006 0.212 0.782
O7 0.500 0.962 0.538
O8 0.013 0.507 0.480
O9 0.076 0.538 0.968
O10 0.000 0.212 0.212
O11 0.424 0.212 0.782
Lu2 0.250 0.375 0.375
O12 0.006 0.794 0.782
Bi1 0.750 0.375 0.875
O13 0.576 0.788 0.212
O14 0.500 0.538 0.538
Ru1 0.750 0.875 0.875
Ru2 0.250 0.375 0.875
Lu3 0.750 0.375 0.375
Ru3 0.750 0.875 0.375
Ru4 0.250 0.875 0.875

***

12.
VASP calculation (PBE-GGA) on AlFeCl2 after structural relaxation.

ΔE to the lowest computed polymorph: 714.5 meV per atom
magnetic moment: 0.000 μB/atom
D(E_F): 3.87 states/eV/f.u.
uncorrected formation energy: 240 meV per atom
mass density: 2689 kg/m3

Cell lengths 6.186, 6.186, 6.615 Å; angles 62.13, 62.13, 90.00 degrees
Fractional positions:
Cl1 0.875 0.977 0.750
Al1 0.500 0.500 0.000
Cl2 0.023 0.625 0.250
Fe1 0.000 0.000 0.000
Cl3 0.375 0.273 0.750
Cl4 0.727 0.125 0.250
Al2 0.250 0.750 0.500
Fe2 0.750 0.250 0.500

***

13.
VASP calculation (PBE-GGA) on Y3HgN after structural relaxation.

magnetic moment: 0.000 μB/atom
D(E_F): 2.68 states/eV/f.u.
uncorrected formation energy: -885 meV per atom
mass density: 7101 kg/m3

Cell lengths 6.806, 4.811, 7.669 Å; angles 90.00, 116.31, 90.00 degrees
Fractional positions:
N1 0.299 0.410 0.236
Y1 0.673 0.410 0.492
Y2 0.181 0.410 0.492
Y3 0.927 0.410 0.992
Y4 0.293 0.910 0.225
Y5 0.427 0.410 0.992
Y6 0.560 0.910 0.759
Hg1 0.055 0.910 0.748
N2 0.555 0.410 0.748
Hg2 0.799 0.910 0.236

***

14.
VASP calculation (PBE-GGA) on PmNdIr after structural relaxation.

ΔE to the lowest computed polymorph: 154.7 meV per atom
magnetic moment: 0.000 μB/atom
D(E_F): 2.60 states/eV/f.u.
mass density: 8795 kg/m3

Cell lengths 3.942, 7.163, 7.777 Å; angles 119.25, 90.00, 105.97 degrees
Fractional positions:
Pm1 0.160 0.320 0.578
Ir1 0.596 0.191 0.798
Ir2 0.937 0.873 0.247
Pm2 0.514 0.029 0.088
Nd1 0.918 0.837 0.602
Nd2 0.252 0.504 0.101

***

15.
VASP calculation (PBE-GGA) on CaBrCl2 after structural relaxation.

ΔE to the lowest computed polymorph: 151.3 meV per atom
magnetic moment: 0.243 μB/atom
D(E_F): 1.00 states/eV/f.u.
uncorrected formation energy: -1484 meV per atom
mass density: 2505 kg/m3

Cell lengths 7.323, 7.323, 5.964 Å; angles 51.14, 51.14, 31.45 degrees
Fractional positions:
Ca1 0.287 0.287 0.076
Cl1 0.737 0.737 0.832
Br1 0.572 0.572 0.467
Cl2 0.903 0.903 0.126

***

16.
VASP calculation (PBE-GGA) on BaLiMn4 after structural relaxation.

magnetic moment: 2.485 μB/atom
D(E_F): 6.07 states/eV/f.u.
mass density: 4844 kg/m3
VASP energy: -6.08 eV per atom

Cell lengths 5.609, 5.609, 5.609 Å; angles 60.00, 60.00, 60.00 degrees
Fractional positions:
Mn1 0.884 0.372 0.372
Mn2 0.372 0.372 0.884
Mn3 0.372 0.372 0.372
Ba1 0.750 0.750 0.750
Li1 0.000 0.000 0.000
Mn4 0.372 0.884 0.372

***

17.
VASP calculation (PBE-GGA) on CaY2Ni after structural relaxation.

ΔE to the lowest computed polymorph: 96.0 meV per atom
magnetic moment: 0.000 μB/atom
D(E_F): 4.31 states/eV/f.u.
mass density: 4219 kg/m3

Cell lengths 6.492, 6.492, 5.388 Å; angles 65.62, 65.62, 32.06 degrees
Fractional positions:
Y1 0.748 0.748 0.766
Ca1 0.556 0.556 0.455
Ni1 0.259 0.259 0.206
Y2 0.937 0.937 0.073

***

18.
VASP calculation (PBE-GGA) on La6Pt2RhCl3 after structural relaxation.

magnetic moment: 0.000 μB/atom
D(E_F): 9.30 states/eV/f.u.
uncorrected formation energy: -1390 meV per atom
mass density: 6728 kg/m3

Cell lengths 4.223, 9.029, 9.999 Å; angles 107.93, 102.19, 90.00 degrees
Fractional positions:
Cl1 0.834 0.170 0.668
La1 0.675 0.561 0.350
La2 0.992 0.778 0.984
La3 0.346 0.897 0.692
Cl2 0.500 0.500 0.000
La4 0.008 0.222 0.016
La5 0.654 0.103 0.308
Pt1 0.834 0.666 0.667
Rh1 0.500 0.000 0.000
La6 0.325 0.439 0.650
Cl3 0.166 0.830 0.332
Pt2 0.166 0.334 0.333

***

19.
VASP calculation (PBE-GGA) on InRe2Br after structural relaxation.

ΔE to the lowest computed polymorph: 1372.6 meV per atom
magnetic moment: 0.000 μB/atom
D(E_F): 5.57 states/eV/f.u.
uncorrected formation energy: 1651 meV per atom
mass density: 12400 kg/m3

Cell lengths 7.378, 7.378, 5.916 Å; angles 51.43, 51.43, 90.00 degrees
Fractional positions:
Br1 0.500 0.500 0.000
In1 0.750 0.250 0.500
In2 0.000 0.000 0.000
Re1 0.189 0.625 0.250
Re2 0.561 0.125 0.250
Re3 0.375 0.439 0.750
Br2 0.250 0.750 0.500
Re4 0.875 0.811 0.750

***

20.
VASP calculation (PBE-GGA) on TaRuW after structural relaxation.

ΔE to the lowest computed polymorph: 19.8 meV per atom
magnetic moment: 0.000 μB/atom
D(E_F): 2.63 states/eV/f.u.
mass density: 16045 kg/m3

Cell lengths 6.984, 6.783, 2.796 Å; angles 82.34, 74.28, 23.38 degrees
Fractional positions:
W1 0.663 0.663 0.337
Ru1 0.002 0.002 0.998
Ta1 0.336 0.336 0.664